(1)
## LaAlWAu2 (PBE-GGA)

Data for a relaxed structure of LaAlWAu2.

Unit cell a=5.0918 b=5.0918 c=4.8677 alpha=90.00 beta=90.00 gamma=90.00
Sites, in units of the cell vectors:
La1 0.0000 0.0000 0.0000
Al1 0.5000 0.5000 0.0000
W1 0.5000 0.5000 0.5000
Au1 0.0000 0.5000 0.5000
Au2 0.5000 0.0000 0.5000

Size of the total moment ... 0.000 μB/cell
Formation energy from the elements ... 0.261 eV/atom
E ... -26.9 eV for the cell shown
Symmetry ... No. 123

(2)
## LaY2AlAu4 (PBE-GGA)

Data for a relaxed structure of LaY2AlAu4.

Unit cell a=9.1154 b=9.1154 c=9.1154 alpha=31.75 beta=31.75 gamma=31.75
Sites, in units of the cell vectors:
La1 0.0000 0.0000 0.0000
Y1 0.2362 0.2362 0.2362
Y2 0.7638 0.7638 0.7638
Al1 0.5000 0.5000 0.5000
Au1 0.1207 0.1207 0.1207
Au2 0.3955 0.3955 0.3955
Au3 0.6045 0.6045 0.6045
Au4 0.8793 0.8793 0.8793

Size of the total moment ... 0.000 μB/cell
Formation energy from the elements ... -0.738 eV/atom
E ... -40.6 eV for the cell shown
Symmetry ... No. 166

(3)
## LaYAlAu (PBE-GGA)

Data for a relaxed structure of LaYAlAu.

Unit cell a=5.2803 b=5.2803 c=5.2803 alpha=60.00 beta=60.00 gamma=60.00
Sites, in units of the cell vectors:
La1 0.0000 0.0000 0.0000
Y1 0.5000 0.5000 0.5000
Al1 0.7500 0.7500 0.7500
Au1 0.2500 0.2500 0.2500

Size of the total moment ... 0.001 μB/cell
Formation energy from the elements ... -0.523 eV/atom
E ... -20.5 eV for the cell shown
Symmetry ... No. 216

(4)
## LaAlZn2Au5 (PBE-GGA)

Data for a relaxed structure of LaAlZn2Au5.

Unit cell a=7.8040 b=7.8040 c=7.8040 alpha=144.08 beta=135.04 gamma=58.84
Sites, in units of the cell vectors:
La1 0.0000 0.0000 0.0000
Al1 0.5000 0.5000 0.0000
Zn1 0.3114 0.8114 0.5000
Zn2 0.6886 0.1886 0.5000
Au1 0.0870 0.3480 0.7390
Au2 0.3910 0.6520 0.7390
Au3 0.5000 0.0000 0.5000
Au4 0.6090 0.3480 0.2610
Au5 0.9130 0.6520 0.2610

Size of the total moment ... 0.000 μB/cell
Formation energy from the elements ... -0.308 eV/atom
E ... -30.4 eV for the cell shown
Symmetry ... No. 71

(5)
## LaAlZnAu (PBE-GGA)

Data for a relaxed structure of LaAlZnAu.

Unit cell a=4.9623 b=4.9623 c=4.9623 alpha=60.00 beta=60.00 gamma=60.00
Sites, in units of the cell vectors:
La1 0.0000 0.0000 0.0000
Al1 0.5000 0.5000 0.5000
Zn1 0.2500 0.2500 0.2500
Au1 0.7500 0.7500 0.7500

Size of the total moment ... 0.000 μB/cell
Formation energy from the elements ... -0.496 eV/atom
E ... -15.2 eV for the cell shown
Symmetry ... No. 216

(6)
## La2Al3Zn4Au (PBE-GGA)

Data for a relaxed structure of La2Al3Zn4Au.

Unit cell a=4.3523 b=4.3523 c=10.7892 alpha=90.00 beta=90.00 gamma=90.00
Sites, in units of the cell vectors:
La1 0.0000 0.5000 0.2462
La2 0.5000 0.0000 0.7538
Al1 0.0000 0.5000 0.8703
Al2 0.5000 0.0000 0.1297
Al3 0.5000 0.5000 0.5000
Zn1 0.0000 0.0000 0.0000
Zn2 0.0000 0.5000 0.6376
Zn3 0.5000 0.0000 0.3624
Zn4 0.5000 0.5000 0.0000
Au1 0.0000 0.0000 0.5000

Size of the total moment ... 0.000 μB/cell
Formation energy from the elements ... -0.444 eV/atom
E ... -33.9 eV for the cell shown
Symmetry ... No. 115

(7)
## LaAl2ZnAu4 (PBE-GGA)

Data for a relaxed structure of LaAl2ZnAu4.

Unit cell a=9.5428 b=9.5428 c=9.5428 alpha=26.95 beta=26.95 gamma=26.95
Sites, in units of the cell vectors:
La1 0.0000 0.0000 0.0000
Al1 0.2399 0.2399 0.2399
Al2 0.7601 0.7601 0.7601
Zn1 0.5000 0.5000 0.5000
Au1 0.1345 0.1345 0.1345
Au2 0.4002 0.4002 0.4002
Au3 0.5998 0.5998 0.5998
Au4 0.8655 0.8655 0.8655

Size of the total moment ... 0.000 μB/cell
Formation energy from the elements ... -0.530 eV/atom
E ... -31.0 eV for the cell shown
Symmetry ... No. 166

(8)
## LaAlZnAu2 (PBE-GGA)

Data for a relaxed structure of LaAlZnAu2.

Unit cell a=6.6250 b=6.6250 c=6.6250 alpha=142.48 beta=142.48 gamma=54.10
Sites, in units of the cell vectors:
La1 0.0000 0.0000 0.0000
Al1 0.7500 0.2500 0.5000
Zn1 0.2500 0.7500 0.5000
Au1 0.3809 0.3809 0.0000
Au2 0.6191 0.6191 0.0000

Size of the total moment ... 0.000 μB/cell
Formation energy from the elements ... -0.643 eV/atom
E ... -19.7 eV for the cell shown
Symmetry ... No. 119

(9)
## LaAlZn4Au2 (PBE-GGA)

Data for a relaxed structure of LaAlZn4Au2.

Unit cell a=9.4719 b=9.4719 c=9.4719 alpha=26.90 beta=26.90 gamma=26.90
Sites, in units of the cell vectors:
La1 0.0000 0.0000 0.0000
Al1 0.5000 0.5000 0.5000
Zn1 0.1274 0.1274 0.1274
Zn2 0.4004 0.4004 0.4004
Zn3 0.5996 0.5996 0.5996
Zn4 0.8726 0.8726 0.8726
Au1 0.2426 0.2426 0.2426
Au2 0.7574 0.7574 0.7574

Size of the total moment ... 0.000 μB/cell
Formation energy from the elements ... -0.285 eV/atom
E ... -22.6 eV for the cell shown
Symmetry ... No. 166

(10)
## LaAl2ZnAu2 (PBE-GGA)

Data for a relaxed structure of LaAl2ZnAu2.

Unit cell a=4.4411 b=4.4411 c=7.1926 alpha=90.00 beta=90.00 gamma=120.00
Sites, in units of the cell vectors:
La1 0.0000 0.0000 0.0000
Al1 0.3333 0.6667 0.3143
Al2 0.6667 0.3333 0.6857
Zn1 0.0000 0.0000 0.5000
Au1 0.3333 0.6667 0.7058
Au2 0.6667 0.3333 0.2942

Size of the total moment ... 0.000 μB/cell
Formation energy from the elements ... -0.562 eV/atom
E ... -23.6 eV for the cell shown
Symmetry ... No. 164

(11)
## La2AlZn4Au3 (PBE-GGA)

Data for a relaxed structure of La2AlZn4Au3.

Unit cell a=4.2593 b=4.2593 c=11.5299 alpha=90.00 beta=90.00 gamma=90.00
Sites, in units of the cell vectors:
La1 0.0000 0.5000 0.2477
La2 0.5000 0.0000 0.7523
Al1 0.5000 0.5000 0.0000
Zn1 0.0000 0.0000 0.5000
Zn2 0.0000 0.5000 0.8660
Zn3 0.5000 0.0000 0.1340
Zn4 0.5000 0.5000 0.5000
Au1 0.0000 0.0000 0.0000
Au2 0.0000 0.5000 0.6407
Au3 0.5000 0.0000 0.3593

Size of the total moment ... 0.000 μB/cell
Formation energy from the elements ... -0.537 eV/atom
E ... -33.9 eV for the cell shown
Symmetry ... No. 115

(12)
## LaAlZn8Au2 (PBE-GGA)

Data for a relaxed structure of LaAlZn8Au2.

Unit cell a=4.8897 b=4.8897 c=10.1318 alpha=94.63 beta=94.63 gamma=64.60
Sites, in units of the cell vectors:
La1 0.0000 0.0000 0.0000
Al1 0.0000 0.0000 0.5000
Zn1 0.1475 0.6493 0.6946
Zn2 0.3285 0.3285 0.8968
Zn3 0.3425 0.3425 0.4559
Zn4 0.3507 0.8525 0.3054
Zn5 0.6493 0.1475 0.6946
Zn6 0.6575 0.6575 0.5441
Zn7 0.6715 0.6715 0.1032
Zn8 0.8525 0.3507 0.3054
Au1 0.3401 0.3401 0.1692
Au2 0.6599 0.6599 0.8308

Size of the total moment ... 0.000 μB/cell
Formation energy from the elements ... -0.163 eV/atom
E ... -27.4 eV for the cell shown
Symmetry ... No. 12